AcPrFe4: relaxed, GGA-PBE.

The structure belongs to space group F-43m (No. 216); the cell edges are 7.571, 7.571 and 7.571 Å and the angles 90.00°, 90.00° and 90.00°. The inequivalent atoms are Ac at (0.000, 0.000, 0.000), Pr at (0.250, 0.250, 0.750) and Fe at (0.125, 0.125, 0.375).

For the formation energy, the calculation gives 0.193 eV per atom.